# SrCoF (PBE+U, optimized geometry)
# - Theoretical density: 4.4 Mg/m³
# - Magnetic moment: 0.67 μB/atom
# - Final energy: -4.07 eV/atom
# - E above lowest polymorph: 382 meV per atom
data_SrCoF
_symmetry_space_group_name_H-M 'P 4/m m m'
_symmetry_Int_Tables_number 123
_symmetry_space_group_name_Hall '-P 4 2'
_cell_length_a 3.5515
_cell_length_b 3.5515
_cell_length_c 4.9763
_cell_angle_alpha 90.00
_cell_angle_beta 90.00
_cell_angle_gamma 90.00
loop_
_atom_site_label
_atom_site_type_symbol
_atom_site_fract_x
_atom_site_fract_y
_atom_site_fract_z
Sr1 Sr 0.0000 0.0000 0.0000
Co1 Co 0.5000 0.5000 0.5000
F1 F 0.5000 0.5000 0.0000